No. 1
Here is a crystal of Tl2RuCl relaxed with PBEsol from Alexandria via LeMat-Bulk. Energies are from SCAN.

Cell: 3.004 5.099 6.316 Å, 113.81 103.76 90.00°
Atoms (fractional coordinates):
Tl1 0.954 0.954 0.908
Tl2 0.747 0.247 0.493
Cl1 0.568 0.568 0.135
Ru1 0.232 0.732 0.463

Energy relative to the elements, uncorrected ... 0.78 eV/f.u.
Space-group type ... Imm2, No. 44
Energy relative to the lowest polymorph listed for this composition ... 46 meV/atom

No. 2
Here is a crystal of TbCdAu relaxed with PBEsol from Alexandria via LeMat-Bulk. Energies are from SCAN.

Cell: 3.900 7.637 7.637 Å, 120.00 90.00 90.00°
Atoms (fractional coordinates):
Tb1 0.000 0.403 0.000
Tb2 0.000 0.000 0.403
Tb3 0.000 0.597 0.597
Cd1 0.500 0.739 0.000
Cd2 0.500 0.000 0.739
Cd3 0.500 0.261 0.261
Au1 0.000 0.000 0.000
Au2 0.500 0.667 0.333
Au3 0.500 0.333 0.667

Space-group type ... P-62m, No. 189

No. 3
Here is a crystal of MnCrSCl2 relaxed with PBEsol from Alexandria via LeMat-Bulk. Energies are from SCAN.

Cell: 4.759 4.633 4.633 Å, 90.00 90.00 90.00°
Last column: magnetic moment on the atom in μB.
Atoms (fractional coordinates):
Mn1 0.000 0.000 0.000  4.11
Cr1 0.500 0.500 0.500  4.25
Cl1 0.000 0.500 0.000  0.05
Cl2 0.000 0.000 0.500  0.05
S1 0.500 0.000 0.000  -0.10

Energy relative to the elements, uncorrected ... -2.87 eV/f.u.
Space-group type ... P4/mmm, No. 123

No. 4
Here is a crystal of MgTi3C relaxed with PBEsol from Alexandria via LeMat-Bulk. Energies are from SCAN.

Cell: 4.574 4.574 4.574 Å, 90.00 90.00 90.00°
Last column: magnetic moment on the atom in μB.
Atoms (fractional coordinates):
Ti1 0.500 0.000 0.000  0.50
Ti2 0.000 0.000 0.500  0.50
Ti3 0.000 0.500 0.000  0.50
C1 0.500 0.500 0.500  -0.19
Mg1 0.000 0.000 0.000  0.00

Space-group type ... Pm-3m, No. 221
Energy relative to the lowest polymorph listed for this composition ... 2831 meV/atom

What are the energy values for these records? In order: -46.684 -49.622 -13.019 -10.183 eV/atom.